[1]
VASP calculation (GGA-PBE) on a relaxed SnS2NCl crystal.

Output
Formation energy without anion corrections in eV/atom: 1.17
Energy relative to the lowest polymorph listed for this composition in meV per atom: 460
Space group: P4/mmm (123)

Lattice parameters (Å, degrees): 5.0259 5.0259 5.2866 90.00 90.00 90.00
Closest atoms and distances in Å follow each position.
Atoms (fractional coordinates):
S  0.0000  0.5000  0.0000  2 Sn 2.51
S  0.5000  0.0000  0.0000  2 Sn 2.51
N  0.5000  0.5000  0.5000  4 Cl 3.55, 8 S 3.65
Sn  0.0000  0.0000  0.0000  4 S 2.51, 2 Cl 2.64
Cl  0.0000  0.0000  0.5000  2 Sn 2.64

[2]
VASP calculation (GGA-PBE) on a relaxed YSi2Sb crystal.

Output
Formation energy without anion corrections in eV/atom: -0.16
Space group: Pmmm (47)

Lattice parameters (Å, degrees): 4.6511 4.6612 3.8863 90.00 90.00 90.00
Closest atoms and distances in Å follow each position.
Atoms (fractional coordinates):
Sb  0.0000  0.5000  0.5000  8 Si 3.03, 4 Y 3.29
Si  0.0000  0.0000  0.0000  4 Y 3.03, 4 Sb 3.03, 4 Si 3.29
Si  0.5000  0.5000  0.0000  4 Sb 3.03, 4 Y 3.03, 4 Si 3.29
Y  0.5000  0.0000  0.5000  8 Si 3.03, 4 Sb 3.29

[3]
VASP calculation (GGA-PBE) on a relaxed Al2ZnSe2S2 crystal.

Output
Formation energy without anion corrections in eV/atom: -0.92
Energy relative to the lowest polymorph listed for this composition in meV per atom: 0
Space group: C2 (5)

Lattice parameters (Å, degrees): 6.5785 6.5785 5.4847 66.05 66.05 108.59
Closest atoms and distances in Å follow each position.
Atoms (fractional coordinates):
Al  0.4950  0.5050  0.0000  2 S 2.29, 2 Se 2.42
Al  0.2554  0.7446  0.5000  2 S 2.28, 2 Se 2.41
Zn  0.9956  0.0044  0.0000  2 S 2.39, 2 Se 2.49
Se  0.3993  0.1359  0.4888  2 Al 2.41-2.42, 1 Zn 2.49
Se  0.8641  0.6007  0.5112  2 Al 2.41-2.42, 1 Zn 2.49
S  0.1336  0.3929  0.9887  2 Al 2.28-2.29, 1 Zn 2.39
S  0.6071  0.8664  0.0113  2 Al 2.28-2.29, 1 Zn 2.39

[4]
VASP calculation (GGA-PBE) on a relaxed Pm2TmTl crystal.

Output
Energy relative to the lowest polymorph listed for this composition in meV per atom: 0
Space group: P4/mmm (123)

Lattice parameters (Å, degrees): 4.9824 4.8705 4.8705 90.00 90.00 90.00
Closest atoms and distances in Å follow each position.
Atoms (fractional coordinates):
Tl  0.5000  0.0000  0.0000  4 Tm 3.44, 8 Pm 3.48
Tm  0.5000  0.5000  0.5000  4 Tl 3.44, 8 Pm 3.48
Pm  0.0000  0.0000  0.5000  4 Pm 3.44, 4 Tl 3.48, 4 Tm 3.48
Pm  0.0000  0.5000  0.0000  4 Pm 3.44, 4 Tm 3.48, 4 Tl 3.48

[5]
VASP calculation (GGA-PBE) on a relaxed Cr2CdSe crystal.

Output
Formation energy without anion corrections in eV/atom: 0.49
Energy relative to the lowest polymorph listed for this composition in meV per atom: 321
Space group: Fm-3m (225)

Lattice parameters (Å, degrees): 4.7966 4.7966 4.7966 60.00 60.00 60.00
Closest atoms and distances in Å follow each position.
Atoms (fractional coordinates):
Cr  0.2500  0.2500  0.2500  4 Cd 2.94, 4 Se 2.94
Cr  0.7500  0.7500  0.7500  4 Cd 2.94, 4 Se 2.94
Se  0.0000  0.0000  0.0000  8 Cr 2.94
Cd  0.5000  0.5000  0.5000  8 Cr 2.94

[6]
VASP calculation (GGA-PBE) on a relaxed PmSnH8Ru2 crystal.

Output
Calculated total energy in eV per atom: -4.667
Space group: C2/m (12)

Lattice parameters (Å, degrees): 4.3562 4.7147 6.5728 66.12 70.65 62.49
Closest atoms and distances in Å follow each position.
Atoms (fractional coordinates):
Pm  0.5000  0.5000  0.5000  10 H 2.32-2.46
Sn  0.0000  0.0000  0.0000  8 H 2.38-2.47
H  0.9139  0.5044  0.6678  1 Ru 1.71
H  0.6931  0.4842  0.1296  1 Ru 1.68
H  0.0861  0.4956  0.3322  1 Ru 1.71
H  0.3069  0.5158  0.8704  1 Ru 1.68
H  0.5612  0.0461  0.3312  1 Ru 1.67
H  0.4388  0.9539  0.6688  1 Ru 1.67
H  0.0615  0.0461  0.3312  1 Ru 1.67
H  0.9385  0.9539  0.6688  1 Ru 1.67
Ru  0.2920  0.2740  0.1420  4 H 1.67-1.71
Ru  0.7080  0.7260  0.8580  4 H 1.67-1.71

[7]
VASP calculation (GGA-PBE) on a relaxed Ca2ZnCoC crystal.

Output
Calculated total energy in eV per atom: -4.407
Space group: P4/mmm (123)

Lattice parameters (Å, degrees): 5.1228 5.1228 3.6234 90.00 90.00 90.00
Closest atoms and distances in Å follow each position.
Atoms (fractional coordinates):
C  0.0000  0.0000  0.0000  2 Co 1.81
Zn  0.5000  0.5000  0.5000  8 Ca 3.14
Co  0.0000  0.0000  0.5000  2 C 1.81
Ca  0.0000  0.5000  0.0000  2 C 2.56
Ca  0.5000  0.0000  0.0000  2 C 2.56

[8]
VASP calculation (GGA-PBE) on a relaxed AcPrSm6Ho2 crystal.

Output
Calculated total energy in eV per atom: -4.512
Space group: C2/c (15)

Lattice parameters (Å, degrees): 9.7662 9.0146 9.0146 117.34 93.07 93.07
Closest atoms and distances in Å follow each position.
Atoms (fractional coordinates):
Ac  0.2500  0.9683  0.0317  4 Ho 3.50-3.58, 6 Sm 3.69-3.89
Ac  0.7500  0.0317  0.9683  4 Ho 3.50-3.58, 6 Sm 3.69-3.89
Pr  0.2500  0.4088  0.5912  6 Sm 3.50-3.64, 2 Ho 3.65
Pr  0.7500  0.5912  0.4088  6 Sm 3.50-3.64, 2 Ho 3.65
Sm  0.0559  0.1168  0.7508  7 Sm 3.46-3.87, 1 Ho 3.60, 1 Ac 3.83
Sm  0.4441  0.2492  0.8832  7 Sm 3.46-3.87, 1 Ho 3.60, 1 Ac 3.83
Sm  0.9441  0.8832  0.2492  7 Sm 3.46-3.87, 1 Ho 3.60, 1 Ac 3.83
Sm  0.5559  0.7508  0.1168  7 Sm 3.46-3.87, 1 Ho 3.60, 1 Ac 3.83
Sm  0.3216  0.9833  0.4451  3 Sm 3.27-3.64, 2 Ho 3.50-3.55, 1 Pr 3.56
Sm  0.1784  0.5549  0.0167  3 Sm 3.27-3.64, 2 Ho 3.50-3.55, 1 Pr 3.56
Sm  0.6784  0.0167  0.5549  3 Sm 3.27-3.64, 2 Ho 3.50-3.55, 1 Pr 3.56
Sm  0.8216  0.4451  0.9833  3 Sm 3.27-3.64, 2 Ho 3.50-3.55, 1 Pr 3.56
Sm  0.1189  0.7073  0.4880  4 Sm 3.27-3.62, 3 Ho 3.34-3.51, 2 Pr 3.50-3.64
Sm  0.3811  0.5120  0.2927  4 Sm 3.27-3.62, 3 Ho 3.34-3.51, 2 Pr 3.50-3.64
Sm  0.8811  0.2927  0.5120  4 Sm 3.27-3.62, 3 Ho 3.34-3.51, 2 Pr 3.50-3.64
Sm  0.6189  0.4880  0.7073  4 Sm 3.27-3.62, 3 Ho 3.34-3.51, 2 Pr 3.50-3.64
Ho  0.4519  0.8004  0.6921  6 Sm 3.34-3.60, 2 Ac 3.50-3.58, 1 Pr 3.65
Ho  0.0481  0.3079  0.1996  6 Sm 3.34-3.60, 2 Ac 3.50-3.58, 1 Pr 3.65
Ho  0.5481  0.1996  0.3079  6 Sm 3.34-3.60, 2 Ac 3.50-3.58, 1 Pr 3.65
Ho  0.9519  0.6921  0.8004  6 Sm 3.34-3.60, 2 Ac 3.50-3.58, 1 Pr 3.65

Per-record total magnetization, μB/f.u.: 3.85 0.00 0.00 0.00 9.28 0.00 0.00 0.00